# NdTmPb2

NdTmPb2 after structural relaxation (PBE, Alexandria via LeMat-Bulk).

a b c (Å): 5.0606 5.0606 4.5114
angles (deg): 90.00 90.00 90.00
With the nearest neighbours (Å) after each atom.
Positions (direct):
Nd (0.0000, 0.0000, 0.0000)  8 Pb 3.39, 4 Tm 3.58
Tm (0.5000, 0.5000, 0.0000)  8 Pb 3.39, 4 Nd 3.58
Pb (0.0000, 0.5000, 0.5000)  4 Nd 3.39, 4 Tm 3.39, 4 Pb 3.58
Pb (0.5000, 0.0000, 0.5000)  4 Nd 3.39, 4 Tm 3.39, 4 Pb 3.58

Summary:
The energy is -18.4 eV/cell. The space-group type is No. 123. The calculation puts the formation enthalpy at 0 K at -0.4383 eV/atom.

***

# NdTm3Pb3

NdTm3Pb3 after structural relaxation (PBE, Alexandria via LeMat-Bulk).

a b c (Å): 8.2665 8.2665 8.2665
angles (deg): 68.10 68.10 68.10
With the nearest neighbours (Å) after each atom.
Positions (direct):
Nd (0.1670, 0.1670, 0.1670)  6 Pb 3.29-3.33
Nd (0.8330, 0.8330, 0.8330)  6 Pb 3.29-3.33
Tm (0.1192, 0.4033, 0.6975)  5 Pb 3.07-3.32
Tm (0.3025, 0.8808, 0.5967)  5 Pb 3.07-3.32
Tm (0.4033, 0.6975, 0.1192)  5 Pb 3.07-3.32
Tm (0.5967, 0.3025, 0.8808)  5 Pb 3.07-3.32
Tm (0.6975, 0.1192, 0.4033)  5 Pb 3.07-3.32
Tm (0.8808, 0.5967, 0.3025)  5 Pb 3.07-3.32
Pb (0.0583, 0.7829, 0.4241)  5 Tm 3.07-3.32, 2 Nd 3.29-3.33
Pb (0.2171, 0.5759, 0.9417)  5 Tm 3.07-3.32, 2 Nd 3.29-3.33
Pb (0.4241, 0.0583, 0.7829)  5 Tm 3.07-3.32, 2 Nd 3.29-3.33
Pb (0.5759, 0.9417, 0.2171)  5 Tm 3.07-3.32, 2 Nd 3.29-3.33
Pb (0.7829, 0.4241, 0.0583)  5 Tm 3.07-3.32, 2 Nd 3.29-3.33
Pb (0.9417, 0.2171, 0.5759)  5 Tm 3.07-3.32, 2 Nd 3.29-3.33

Summary:
The energy is -62.7 eV/cell. The space-group type is No. 148. The calculation puts the formation enthalpy at 0 K at -0.2951 eV/atom. As for the energy relative to the lowest polymorph listed for this composition: 201.2 meV/atom.

***

# Nd8Tm2Pb

Nd8Tm2Pb after structural relaxation (PBE, Alexandria via LeMat-Bulk).

a b c (Å): 9.5605 9.5605 8.1476
angles (deg): 105.11 105.11 30.52
With the nearest neighbours (Å) after each atom.
Positions (direct):
Nd (0.0443, 0.0443, 0.2293)  9 Nd 3.56-3.69, 2 Pb 3.58, 1 Tm 3.62
Nd (0.1382, 0.1382, 0.6815)  7 Nd 3.55-3.64, 3 Tm 3.58-3.60, 2 Pb 3.60
Nd (0.3212, 0.3212, 0.5928)  8 Nd 3.56-3.68, 1 Pb 3.58, 3 Tm 3.62-3.70
Nd (0.4086, 0.4086, 0.0562)  1 Pb 3.55, 8 Nd 3.55-3.73, 3 Tm 3.56-3.61
Nd (0.5914, 0.5914, 0.9438)  1 Pb 3.55, 8 Nd 3.55-3.73, 3 Tm 3.56-3.61
Nd (0.6788, 0.6788, 0.4072)  8 Nd 3.56-3.68, 1 Pb 3.58, 3 Tm 3.62-3.70
Nd (0.8618, 0.8618, 0.3185)  7 Nd 3.55-3.64, 3 Tm 3.58-3.60, 2 Pb 3.60
Nd (0.9557, 0.9557, 0.7707)  9 Nd 3.56-3.69, 2 Pb 3.58, 1 Tm 3.62
Tm (0.2247, 0.2247, 0.1318)  10 Nd 3.56-3.70, 2 Tm 3.59
Tm (0.7753, 0.7753, 0.8682)  10 Nd 3.56-3.70, 2 Tm 3.59
Pb (0.5000, 0.5000, 0.5000)  12 Nd 3.55-3.60

Summary:
The energy is -51.7 eV/cell. The space-group type is No. 12. The calculation puts the formation enthalpy at 0 K at -0.0813 eV/atom.